No. 1
# Na6SN4

A geometry-optimized Na6SN4 structure (PBE, Alexandria via LeMat-Bulk).

```
22
Lattice="-1.015 -4.997 4.996 -3.729 -3.909 -4.667 4.909 -2.677 -1.680" Properties=species:S:1:pos:R:3 pbc="T T T"
Na 2.918 -4.366 1.325
Na 2.073 -4.102 -3.681
Na -0.381 -2.763 -2.841
Na 0.464 -3.028 2.166
Na 1.482 -3.163 -0.773
Na -1.317 -8.419 -0.578
Na -3.344 -6.278 0.232
Na -1.400 -2.628 0.097
Na -0.718 -5.470 -3.527
Na 0.884 -6.112 2.176
Na -1.816 -4.676 2.145
Na -2.928 -4.230 -1.815
S 0.083 -5.791 -0.676
S 0.000 0.000 0.000
N 0.012 -4.620 0.482
N -1.410 -6.110 -1.298
N -2.236 -3.590 -4.044
N 0.071 -1.171 -1.157
N 1.058 -5.265 -1.896
N 0.671 -7.170 0.009
N 3.306 -6.295 2.631
N 3.934 -3.203 -0.460
```

Calculated values
space-group type = No. 137
raw formation energy = 7.06 kJ/mol of atoms

No. 2
# Ca5C4

A geometry-optimized Ca5C4 structure (PBE, Alexandria via LeMat-Bulk).

```
18
Lattice="7.622 0.000 0.000 -3.811 6.601 0.000 0.000 0.000 6.291" Properties=species:S:1:pos:R:3 pbc="T T T"
Ca -2.842 4.923 1.573
Ca 0.969 1.678 1.573
Ca 5.684 0.000 1.573
Ca -0.969 1.678 4.718
Ca 2.842 4.923 4.718
Ca 1.937 0.000 4.718
Ca 3.811 2.200 0.000
Ca 0.000 4.400 3.146
Ca 0.000 4.400 0.000
Ca 3.811 2.200 3.146
C 0.000 0.000 0.000
C 0.000 0.000 3.146
C -1.555 2.693 1.573
C 2.256 3.908 1.573
C 3.110 0.000 1.573
C -2.256 3.908 4.718
C 1.555 2.693 4.718
C 4.512 0.000 4.718
```

Calculated values
uncorrected energy = -78.44 eV for the cell shown
space-group type = No. 193
DOS at the Fermi energy = 14.25 states/eV/cell

No. 3
# Tb5Er12Sc2

A geometry-optimized Tb5Er12Sc2 structure (PBE, Alexandria via LeMat-Bulk).

```
19
Lattice="9.103 0.000 0.000 -4.551 7.550 1.152 0.000 -1.607 8.306" Properties=species:S:1:pos:R:3 pbc="T T T"
Tb 0.000 2.577 5.258
Tb 0.000 2.882 8.795
Tb 0.000 -0.804 4.153
Tb 4.551 3.061 0.663
Tb 4.551 3.366 4.200
Er 4.551 6.251 2.026
Er -2.903 4.111 7.162
Er 2.903 4.111 7.162
Er -1.753 5.074 3.533
Er 1.753 5.074 3.533
Er 0.000 5.635 6.550
Er 4.551 0.308 2.908
Er 6.304 0.869 5.926
Er 2.798 0.869 5.926
Er 7.455 1.832 2.296
Er 1.648 1.832 2.296
Er 0.000 -0.308 7.433
Sc 6.084 0.000 0.000
Sc 3.019 0.000 0.000
```

Calculated values
uncorrected energy = -88.29 eV for the cell shown
space-group type = No. 12
DOS at the Fermi energy = 27.48 states/eV/cell

No. 4
# Ti2CdCo2

A geometry-optimized Ti2CdCo2 structure (PBE, Alexandria via LeMat-Bulk).

```
5
Lattice="4.023 0.000 0.000 0.000 4.023 0.000 2.011 2.011 4.910" Properties=species:S:1:pos:R:3 pbc="T T T"
Ti 4.023 2.011 2.455
Ti 2.011 4.023 2.455
Co 2.011 2.011 1.113
Co 4.023 4.023 3.798
Cd 0.000 0.000 0.000
```

Calculated values
uncorrected energy = -31.35 eV for the cell shown
space-group type = No. 139
DOS at the Fermi energy = 2.50 states/eV/cell

No. 5
# CsCeSb2O8

A geometry-optimized CsCeSb2O8 structure (PBE, Alexandria via LeMat-Bulk).

```
12
Lattice="-0.849 2.990 5.213 -4.435 -3.469 -2.265 3.022 -6.690 4.330" Properties=species:S:1:pos:R:3 pbc="T T T"
Cs 0.000 0.000 0.000
Ce 1.511 -3.345 2.165
Sb -1.224 -0.978 3.895
Sb -1.038 -6.191 3.382
O -0.359 -7.694 4.356
O -0.260 -2.082 2.685
O -0.083 -0.329 5.269
O -1.903 0.525 2.922
O -2.179 -6.840 2.009
O -2.002 -5.087 4.593
O 0.437 -5.248 2.642
O -2.699 -1.921 4.636
```

Calculated values
space-group type = No. 147
raw formation energy = -158.72 kJ/mol of atoms
DOS at the Fermi energy = 8.92 states/eV/cell

No. 6
# CaTa2Fe

A geometry-optimized CaTa2Fe structure (PBE, Alexandria via LeMat-Bulk).

```
4
Lattice="-2.285 -4.174 0.327 2.782 -1.321 2.568 -2.157 1.421 3.067" Properties=species:S:1:pos:R:3 pbc="T T T"
Ca 0.249 -2.748 1.447
Fe -2.221 -1.377 1.697
Ta 0.000 0.000 0.000
Ta 0.312 0.050 2.818
```

Calculated values
uncorrected energy = -31.02 eV for the cell shown
space-group type = No. 123
DOS at the Fermi energy = 5.77 states/eV/cell

No. 7
# CsTl3Cl6

A geometry-optimized CsTl3Cl6 structure (PBE, Alexandria via LeMat-Bulk).

```
20
Lattice="-1.167 -6.481 4.587 6.787 -3.131 -2.697 5.795 4.853 8.330" Properties=species:S:1:pos:R:3 pbc="T T T"
Cs 5.708 -2.379 5.110
Cs 0.000 0.000 0.000
Tl 4.504 -0.980 0.963
Tl 2.810 -4.806 0.945
Tl 6.912 -3.778 9.258
Tl 10.412 -2.250 5.287
Tl 2.898 2.427 4.165
Tl 1.004 -2.509 4.933
Cl 1.937 -6.067 3.105
Cl 3.222 -4.354 6.611
Cl 6.364 -0.742 8.079
Cl 5.052 -4.016 2.141
Cl 8.194 -0.404 3.609
Cl 9.479 1.308 7.115
Cl 8.337 -4.602 5.494
Cl 9.748 -2.188 8.504
Cl 6.358 -7.523 4.539
Cl 5.058 2.764 5.681
Cl 1.668 -2.570 1.717
Cl 3.079 -0.156 4.726
```

Calculated values
space-group type = No. 14
raw formation energy = -105.81 kJ/mol of atoms
DOS at the Fermi energy = 0.00 states/eV/cell

No. 8
# ThMnBe

A geometry-optimized ThMnBe structure (PBE, Alexandria via LeMat-Bulk).

```
3
Lattice="3.915 0.000 0.000 0.000 4.067 0.000 0.000 -2.033 3.522" Properties=species:S:1:pos:R:3 pbc="T T T"
Be 0.652 0.000 0.000
Mn 0.653 0.000 2.348
Th 2.610 2.033 1.174
```

Calculated values
uncorrected energy = -19.92 eV for the cell shown
space-group type = No. 187
DOS at the Fermi energy = 3.45 states/eV/cell

No. 9
# Rb2AcPaS6

A geometry-optimized Rb2AcPaS6 structure (PBE, Alexandria via LeMat-Bulk).

```
20
Lattice="7.829 0.000 -0.026 0.000 7.838 0.000 0.029 0.000 11.087" Properties=species:S:1:pos:R:3 pbc="T T T"
Rb 0.009 7.821 2.772
Rb 3.938 3.936 8.302
Rb 7.848 0.017 8.288
Rb 3.920 3.902 2.758
Ac 3.914 0.000 -0.013
Ac 0.014 3.919 5.544
Pa 3.929 0.000 5.530
Pa 0.000 3.919 0.000
S 1.946 5.673 0.035
S 5.875 6.084 5.566
S 5.911 2.165 11.025
S 1.982 1.754 5.495
S 2.178 5.889 5.492
S 6.107 5.869 11.022
S 5.679 1.949 5.569
S 1.750 1.970 0.038
S 7.776 3.928 2.594
S 3.876 7.829 8.150
S 0.081 3.910 8.467
S 3.981 0.009 2.910
```

Calculated values
space-group type = No. 14
raw formation energy = -129.08 kJ/mol of atoms
DOS at the Fermi energy = 17.35 states/eV/cell

No. 10
# Na2Ga2Hg

A geometry-optimized Na2Ga2Hg structure (PBE, Alexandria via LeMat-Bulk).

```
5
Lattice="-1.194 3.211 -2.418 -3.640 0.208 2.073 0.440 6.210 4.393" Properties=species:S:1:pos:R:3 pbc="T T T"
Na -1.585 5.565 0.901
Na -2.808 4.063 3.146
Hg 0.000 0.000 0.000
Ga -1.906 2.513 0.643
Ga -2.487 7.115 3.405
```

Calculated values
uncorrected energy = -8.47 eV for the cell shown
space-group type = No. 139
DOS at the Fermi energy = 1.65 states/eV/cell

No. 11
# Ce3Nd2PuAs6

A geometry-optimized Ce3Nd2PuAs6 structure (PBE, Alexandria via LeMat-Bulk).

```
12
Lattice="7.318 -0.001 0.001 -3.658 6.338 0.001 -1.220 -2.113 6.893" Properties=species:S:1:pos:R:3 pbc="T T T"
Ce -2.427 4.218 3.447
Ce 4.867 0.006 3.447
Ce 1.220 2.112 3.447
Nd 0.004 4.223 0.001
Nd 3.656 2.114 0.001
Pu 0.000 0.000 0.000
As 3.642 2.144 5.149
As 2.459 4.258 1.748
As -1.202 2.080 1.745
As 0.037 4.226 5.149
As -0.019 -0.033 5.146
As 2.403 -0.002 1.745
```

Calculated values
uncorrected energy = -86.22 eV for the cell shown
space-group type = No. 12
DOS at the Fermi energy = 27.38 states/eV/cell

No. 12
# TbNdSiGe

A geometry-optimized TbNdSiGe structure (PBE, Alexandria via LeMat-Bulk).

```
4
Lattice="-0.211 -4.301 0.895 2.587 0.490 2.964 -4.003 3.066 2.985" Properties=species:S:1:pos:R:3 pbc="T T T"
Tb -1.790 -1.242 4.419
Nd -1.156 0.258 0.966
Si -3.451 0.769 2.884
Ge 0.557 -1.765 2.457
```

Calculated values
space-group type = No. 38
raw formation energy = -78.17 kJ/mol of atoms
DOS at the Fermi energy = 2.90 states/eV/cell